Entry 1:
{"formula": "CoNi2", "functional": "GGA-PBEsol", "state": "relaxed", "ef_ev_per_atom": 0.01, "energy_ev_per_atom": -6.676, "crystal_system": "monoclinic", "lattice_angstrom": [[4.5354, -1.2208, 0.0000], [4.5354, 1.2208, 0.0000], [-1.5198, 0.0000, 5.6156]], "species": ["Co", "Co", "Ni", "Ni", "Ni", "Ni"], "fractional_positions": [[0.0000, 0.0000, 0.0000], [0.6648, 0.6648, 0.3292], [0.0557, 0.0557, 0.6087], [0.3327, 0.3327, 0.6655], [0.3885, 0.3885, 0.2766], [0.7207, 0.7207, 0.9439]]}


Entry 2:
{"formula": "Co3Ni", "functional": "GGA-PBEsol", "state": "relaxed", "ef_ev_per_atom": -0.02, "energy_ev_per_atom": -7.361, "crystal_system": "orthorhombic", "lattice_angstrom": [[3.9578, 0.0000, 0.0000], [0.0000, 4.9248, 0.0000], [0.0000, 0.0000, 4.2444]], "species": ["Co", "Co", "Co", "Co", "Co", "Co", "Ni", "Ni"], "fractional_positions": [[0.2500, 0.0011, 0.1673], [0.2500, 0.4989, 0.1673], [0.2500, 0.7500, 0.6705], [0.7500, 0.2500, 0.3295], [0.7500, 0.5011, 0.8327], [0.7500, 0.9989, 0.8327], [0.2500, 0.2500, 0.6673], [0.7500, 0.7500, 0.3327]]}


Entry 3:
{"formula": "Co4Ni5", "functional": "GGA-PBEsol", "state": "relaxed", "ef_ev_per_atom": -0.01, "energy_ev_per_atom": -6.867, "crystal_system": "tetragonal", "lattice_angstrom": [[-3.6775, 3.6775, 1.7216], [3.6775, -3.6775, 1.7216], [3.6775, 3.6775, -1.7216]], "species": ["Co", "Co", "Co", "Co", "Ni", "Ni", "Ni", "Ni", "Ni"], "fractional_positions": [[0.0000, 0.3370, 0.3370], [0.0000, 0.6630, 0.6630], [0.3370, 0.0000, 0.3370], [0.6630, 0.0000, 0.6630], [0.0000, 0.0000, 0.0000], [0.3324, 0.3324, 0.6647], [0.3324, 0.6676, 0.0000], [0.6676, 0.3324, 0.0000], [0.6676, 0.6676, 0.3353]]}


Entry 4:
{"formula": "CoNi3", "functional": "GGA-PBEsol", "state": "relaxed", "ef_ev_per_atom": 0.01, "energy_ev_per_atom": -6.538, "crystal_system": "cubic", "lattice_angstrom": [[3.4592, 0.0000, 0.0000], [0.0000, 3.4592, 0.0000], [0.0000, 0.0000, 3.4592]], "species": ["Co", "Ni", "Ni", "Ni"], "fractional_positions": [[0.0000, 0.0000, 0.0000], [0.0000, 0.5000, 0.5000], [0.5000, 0.0000, 0.5000], [0.5000, 0.5000, 0.0000]]}


Entry 5:
{"formula": "CoNi2", "functional": "GGA-PBEsol", "state": "relaxed", "ef_ev_per_atom": 0.00, "energy_ev_per_atom": -6.685, "crystal_system": "orthorhombic", "lattice_angstrom": [[1.7418, -5.1729, 0.0000], [1.7418, 5.1729, 0.0000], [0.0000, 0.0000, 3.4471]], "species": ["Co", "Co", "Ni", "Ni", "Ni", "Ni"], "fractional_positions": [[0.0822, 0.9178, 0.7500], [0.9178, 0.0822, 0.2500], [0.2514, 0.7486, 0.2500], [0.4186, 0.5814, 0.7500], [0.5814, 0.4186, 0.2500], [0.7486, 0.2514, 0.7500]]}


Entry 6:
{"formula": "Co2Ni", "functional": "GGA-PBEsol", "state": "relaxed", "ef_ev_per_atom": 0.00, "energy_ev_per_atom": -7.209, "crystal_system": "tetragonal", "lattice_angstrom": [[-1.7346, 1.7346, 10.3160], [1.7346, -1.7346, 10.3160], [1.7346, 1.7346, -10.3160]], "species": ["Co", "Co", "Co", "Co", "Co", "Co", "Co", "Co", "Ni", "Ni", "Ni", "Ni"], "fractional_positions": [[0.1244, 0.3744, 0.7500], [0.2919, 0.5419, 0.7500], [0.3744, 0.1244, 0.2500], [0.4581, 0.7081, 0.7500], [0.5419, 0.2919, 0.2500], [0.6256, 0.8756, 0.7500], [0.7081, 0.4581, 0.2500], [0.8756, 0.6256, 0.2500], [0.0419, 0.7919, 0.2500], [0.2081, 0.9581, 0.2500], [0.7919, 0.0419, 0.7500], [0.9581, 0.2081, 0.7500]]}


Entry 7:
{"formula": "Co2Ni3", "functional": "GGA-PBEsol", "state": "relaxed", "ef_ev_per_atom": 0.00, "energy_ev_per_atom": -6.788, "crystal_system": "trigonal", "polymorph_energy_ev_per_atom": 0.0000, "lattice_angstrom": [[1.2222, 0.7057, 10.0191], [-1.2222, 0.7057, 10.0191], [0.0000, -1.4113, 10.0191]], "species": ["Co", "Co", "Ni", "Ni", "Ni"], "fractional_positions": [[0.0999, 0.0999, 0.0999], [0.9001, 0.9001, 0.9001], [0.2996, 0.2996, 0.2996], [0.5000, 0.5000, 0.5000], [0.7004, 0.7004, 0.7004]]}


Entry 8:
{"formula": "CoNi2", "functional": "GGA-PBEsol", "state": "relaxed", "ef_ev_per_atom": 0.56, "energy_ev_per_atom": -6.122, "crystal_system": "tetragonal", "lattice_angstrom": [[3.8947, 0.0000, 0.0000], [0.0000, 3.8947, 0.0000], [0.0000, 0.0000, 2.4805]], "species": ["Co", "Ni", "Ni"], "fractional_positions": [[0.0000, 0.0000, 0.0000], [0.0000, 0.5000, 0.5000], [0.5000, 0.0000, 0.5000]]}


no.,M_tot (μB per formula unit)
1,2.9
2,5.5
3,9.6
4,3.6
5,2.9
6,3.9
7,5.2
8,3.1